{"formula": "Ac3IrPd", "functional": "PBE", "state": "relaxed", "relative_energy_ev_per_atom": 0.000, "crystal_system": "monoclinic", "formation_enthalpy_0k_ev_per_atom": -0.64, "total_energy_ev_per_cell": -59.15, "lattice": [[-2.686, -0.320, 3.561], [-0.331, -11.220, 1.548], [4.552, -3.325, 5.943]], "species": ["Ac", "Ac", "Ac", "Ac", "Ac", "Ac", "Pd", "Pd", "Ir", "Ir"], "fractional_positions": [[0.972, 0.803, 0.252], [0.355, 0.508, 0.782], [0.308, 0.137, 0.246], [0.028, 0.197, 0.748], [0.645, 0.492, 0.218], [0.692, 0.863, 0.754], [0.336, 0.819, 0.508], [0.664, 0.181, 0.492], [0.164, 0.681, 0.991], [0.836, 0.319, 0.009]]}


{"formula": "BaAc4Ge3O12", "functional": "PBE", "state": "relaxed", "raw_formation_energy_mev_per_atom": -2247.6, "crystal_system": "cubic", "total_energy_ev_per_cell": -136.66, "lattice": [[7.659, 0.000, 0.000], [-2.553, 7.221, 0.000], [-2.553, -3.611, 6.254]], "species": ["Ac", "Ac", "Ac", "Ac", "O", "O", "O", "O", "O", "O", "O", "O", "O", "O", "O", "O", "Ba", "Ge", "Ge", "Ge"], "fractional_positions": [[0.500, 0.500, 0.500], [0.000, 0.500, 0.000], [0.000, 0.000, 0.500], [0.500, 0.000, 0.000], [0.188, 0.336, 0.852], [0.664, 0.852, 0.516], [0.484, 0.336, 0.148], [0.148, 0.812, 0.664], [0.852, 0.188, 0.336], [0.336, 0.852, 0.188], [0.148, 0.484, 0.336], [0.852, 0.516, 0.664], [0.516, 0.664, 0.852], [0.664, 0.148, 0.812], [0.812, 0.664, 0.148], [0.336, 0.148, 0.484], [0.000, 0.000, 0.000], [0.000, 0.500, 0.500], [0.500, 0.500, 0.000], [0.500, 0.000, 0.500]]}


{"formula": "Tm2Zn2Ni3", "functional": "PBE", "state": "relaxed", "crystal_system": "cubic", "formation_enthalpy_0k_ev_per_atom": -0.25, "total_energy_ev_per_cell": -61.23, "lattice": [[6.836, 0.000, 0.000], [-2.279, 6.445, 0.000], [-2.279, -3.222, 5.581]], "species": ["Tm", "Tm", "Tm", "Tm", "Ni", "Ni", "Ni", "Ni", "Ni", "Ni", "Zn", "Zn", "Zn", "Zn"], "fractional_positions": [[0.500, 0.000, 0.000], [0.000, 0.500, 0.000], [0.500, 0.500, 0.500], [0.000, 0.000, 0.500], [0.724, 0.250, 0.474], [0.776, 0.750, 0.026], [0.750, 0.474, 0.224], [0.526, 0.276, 0.750], [0.974, 0.224, 0.250], [0.250, 0.026, 0.276], [0.410, 0.500, 0.000], [0.000, 0.000, 0.910], [0.500, 0.910, 0.500], [0.090, 0.590, 0.590]]}


{"formula": "MgScNi2", "functional": "PBE", "state": "relaxed", "crystal_system": "orthorhombic", "formation_enthalpy_0k_ev_per_atom": 0.50, "total_energy_ev_per_cell": -17.51, "lattice": [[4.734, -1.406, -2.661], [-1.187, 4.794, 2.661], [-3.314, -0.081, 4.526]], "species": ["Ni", "Ni", "Sc", "Mg"], "fractional_positions": [[0.000, 0.250, 0.250], [0.000, 0.750, 0.750], [0.000, 0.500, 0.500], [0.000, 0.000, 0.000]]}


{"formula": "Ce5Sn", "functional": "PBE", "state": "relaxed", "relative_energy_ev_per_atom": 0.001, "crystal_system": "monoclinic", "formation_enthalpy_0k_ev_per_atom": -0.21, "total_energy_ev_per_cell": -34.95, "lattice": [[-2.069, -4.062, -0.031], [4.430, 0.331, -3.799], [2.670, -1.407, 6.114]], "species": ["Ce", "Ce", "Ce", "Ce", "Ce", "Sn"], "fractional_positions": [[0.025, 0.050, 0.549], [0.366, 0.733, 0.736], [0.694, 0.389, 0.389], [0.364, 0.728, 0.229], [0.022, 0.045, 0.042], [0.694, 0.389, 0.889]]}


{"formula": "Nd2Al", "functional": "PBE", "state": "relaxed", "crystal_system": "orthorhombic", "formation_enthalpy_0k_ev_per_atom": -0.19, "total_energy_ev_per_cell": -27.72, "lattice": [[-5.217, -1.514, -2.997], [1.841, -5.650, -1.784], [-3.329, -5.206, 1.622]], "species": ["Al", "Al", "Nd", "Nd", "Nd", "Nd"], "fractional_positions": [[0.750, 0.250, 0.250], [0.250, 0.750, 0.750], [0.320, 0.179, 0.140], [0.821, 0.680, 0.360], [0.179, 0.320, 0.640], [0.680, 0.821, 0.860]]}


{"formula": "YUPbO6", "functional": "PBE", "state": "relaxed", "raw_formation_energy_mev_per_atom": -2569.7, "crystal_system": "trigonal", "total_energy_ev_per_cell": -74.34, "lattice": [[4.849, 0.000, 0.000], [0.000, 5.858, 0.000], [0.000, -2.929, 5.073]], "species": ["O", "O", "O", "O", "O", "O", "Y", "U", "Pb"], "fractional_positions": [[0.724, 0.989, 0.299], [0.724, 0.309, 0.011], [0.276, 0.989, 0.691], [0.276, 0.309, 0.299], [0.276, 0.701, 0.011], [0.724, 0.701, 0.691], [0.500, 0.667, 0.333], [0.500, 0.000, 0.000], [0.000, 0.333, 0.667]]}


{"formula": "Ga2SbI", "functional": "PBE", "state": "relaxed", "relative_energy_ev_per_atom": 0.000, "raw_formation_energy_mev_per_atom": 69.9, "crystal_system": "tetragonal", "total_energy_ev_per_cell": -22.89, "lattice": [[7.533, 0.000, 0.000], [0.000, 7.533, 0.000], [3.767, 3.767, 4.765]], "species": ["Sb", "Sb", "I", "I", "Ga", "Ga", "Ga", "Ga"], "fractional_positions": [[0.250, 0.750, 0.500], [0.500, 0.500, 0.000], [0.750, 0.250, 0.500], [0.000, 0.000, 0.000], [0.159, 0.625, 0.250], [0.375, 0.409, 0.750], [0.875, 0.841, 0.750], [0.591, 0.125, 0.250]]}


{"formula": "HoOF", "functional": "PBE", "state": "relaxed", "raw_formation_energy_mev_per_atom": -3907.1, "crystal_system": "orthorhombic", "total_energy_ev_per_cell": -92.51, "lattice": [[3.692, 0.000, 0.000], [0.000, 4.083, 0.000], [0.000, 0.000, 10.989]], "species": ["F", "F", "F", "F", "Ho", "Ho", "Ho", "Ho", "O", "O", "O", "O"], "fractional_positions": [[0.750, 0.178, 0.275], [0.750, 0.822, 0.775], [0.250, 0.678, 0.225], [0.250, 0.322, 0.725], [0.250, 0.003, 0.399], [0.750, 0.497, 0.601], [0.250, 0.997, 0.899], [0.750, 0.503, 0.101], [0.250, 0.494, 0.984], [0.750, 0.006, 0.016], [0.250, 0.506, 0.484], [0.750, 0.994, 0.516]]}


{"formula": "Ag2TeP", "functional": "PBE", "state": "relaxed", "relative_energy_ev_per_atom": 0.000, "raw_formation_energy_mev_per_atom": 203.1, "crystal_system": "monoclinic", "total_energy_ev_per_cell": -13.44, "lattice": [[4.680, -0.005, -0.140], [3.672, 2.901, -0.140], [-1.286, -0.446, 6.796]], "species": ["Te", "Ag", "Ag", "P"], "fractional_positions": [[0.349, 0.349, 0.207], [0.040, 0.040, 0.967], [0.702, 0.702, 0.703], [0.409, 0.409, 0.623]]}


{"formula": "Sc2BeCo2", "functional": "PBE", "state": "relaxed", "relative_energy_ev_per_atom": 0.102, "crystal_system": "tetragonal", "formation_enthalpy_0k_ev_per_atom": -0.21, "total_energy_ev_per_cell": -63.33, "lattice": [[6.017, 0.000, 0.000], [0.000, 6.017, 0.000], [0.000, 0.000, 4.007]], "species": ["Sc", "Sc", "Sc", "Sc", "Co", "Co", "Co", "Co", "Be", "Be"], "fractional_positions": [[0.322, 0.178, 0.500], [0.678, 0.822, 0.500], [0.822, 0.322, 0.500], [0.178, 0.678, 0.500], [0.864, 0.636, 0.000], [0.136, 0.364, 0.000], [0.364, 0.864, 0.000], [0.636, 0.136, 0.000], [0.000, 0.000, 0.000], [0.500, 0.500, 0.000]]}


{"formula": "GeIO3", "functional": "PBE", "state": "relaxed", "raw_formation_energy_mev_per_atom": 140.8, "crystal_system": "cubic", "total_energy_ev_per_cell": -20.34, "lattice": [[4.187, 0.000, 0.000], [0.000, 4.187, 0.000], [0.000, 0.000, 4.187]], "species": ["I", "O", "O", "O", "Ge"], "fractional_positions": [[0.000, 0.000, 0.000], [0.000, 0.500, 0.000], [0.500, 0.000, 0.000], [0.000, 0.000, 0.500], [0.500, 0.500, 0.500]]}